Below is an optimized crystal structure of CaSi2Te2, with properties calculated at the PBE-GGA level.

```
5
Lattice="-2.839 2.839 4.129 2.839 -2.839 4.129 2.839 2.839 -4.129" Properties=species:S:1:pos:R:3 pbc="T T T"
Ca 0.000 0.000 0.000
Si 0.000 0.000 2.882
Si 0.000 0.000 5.376
Te 2.839 0.000 2.065
Te 0.000 2.839 2.065
```

Computed properties:
energy: -20.02 eV for the cell shown
calculated volume: 133.1 Å³ per cell

=====

Below is an optimized crystal structure of CaSi2Te, with properties calculated at the PBE-GGA level.

```
4
Lattice="-1.869 2.729 4.509 1.869 -2.729 4.509 1.869 2.729 -4.509" Properties=species:S:1:pos:R:3 pbc="T T T"
Ca 0.000 0.000 0.000
Si 1.869 0.000 2.445
Si 0.000 0.000 3.951
Te 0.000 2.729 1.828
```

Computed properties:
energy: -16.42 eV for the cell shown
calculated volume: 92.0 Å³ per cell

=====

Below is an optimized crystal structure of CaSi2Te, with properties calculated at the PBE-GGA level.

```
8
Lattice="-4.109 4.109 2.925 4.109 -4.109 2.925 4.109 4.109 -2.925" Properties=species:S:1:pos:R:3 pbc="T T T"
Ca 0.000 0.000 0.000
Ca 0.000 4.109 1.462
Si 2.055 -1.898 2.193
Si 2.212 2.055 0.731
Si 2.055 6.007 -0.731
Si 1.898 2.055 3.656
Te 4.109 0.000 1.462
Te 0.000 0.000 2.925
```

Computed properties:
energy: -30.99 eV for the cell shown
calculated volume: 197.5 Å³ per cell

=====

Below is an optimized crystal structure of CaSiTe2, with properties calculated at the PBE-GGA level.

```
4
Lattice="6.039 -2.100 0.000 6.039 2.100 0.000 -0.160 0.000 4.452" Properties=species:S:1:pos:R:3 pbc="T T T"
Ca 0.000 0.000 0.000
Si 2.496 0.000 2.294
Te 5.104 0.000 2.174
Te 8.455 0.000 4.127
```

Computed properties:
energy: -16.39 eV for the cell shown
calculated volume: 112.9 Å³ per cell

=====

Below is an optimized crystal structure of Ca2SiTe, with properties calculated at the PBE-GGA level.

```
4
Lattice="4.408 0.000 0.000 0.000 4.408 0.000 0.000 0.000 6.307" Properties=species:S:1:pos:R:3 pbc="T T T"
Ca 0.000 0.000 0.000
Ca 2.204 2.204 3.153
Si 0.000 0.000 3.153
Te 2.204 2.204 0.000
```

Computed properties:
energy: -15.12 eV for the cell shown
calculated volume: 122.6 Å³ per cell

=====

Below is an optimized crystal structure of CaSiTe, with properties calculated at the PBE-GGA level.

```
3
Lattice="-1.912 1.912 5.171 1.912 -1.912 5.171 1.912 1.912 -5.171" Properties=species:S:1:pos:R:3 pbc="T T T"
Ca 0.000 0.000 0.000
Si 0.000 0.000 3.176
Te 0.000 0.000 7.148
```

Computed properties:
energy: -11.34 eV for the cell shown
calculated volume: 75.6 Å³ per cell

=====

Below is an optimized crystal structure of CaSiTe2, with properties calculated at the PBE-GGA level.

```
4
Lattice="0.000 3.790 3.790 3.790 0.000 3.790 3.790 3.790 0.000" Properties=species:S:1:pos:R:3 pbc="T T T"
Ca 0.000 0.000 0.000
Si 3.790 3.790 3.790
Te 1.895 1.895 1.895
Te 5.684 5.684 5.684
```

Computed properties:
energy: -14.91 eV for the cell shown
calculated volume: 108.9 Å³ per cell

=====

Below is an optimized crystal structure of CaSi2Te, with properties calculated at the PBE-GGA level.

```
4
Lattice="4.361 0.000 0.000 0.000 4.361 0.000 0.000 0.000 4.653" Properties=species:S:1:pos:R:3 pbc="T T T"
Ca 0.000 0.000 0.000
Si 0.000 2.181 2.326
Si 2.181 0.000 2.326
Te 2.181 2.181 0.000
```

Computed properties:
energy: -15.99 eV for the cell shown
calculated volume: 88.5 Å³ per cell